# 1
Density functional theory data (GGA-PBE) for a relaxed structure of Tm3LuCo.

Lattice parameters (Å, degrees): 5.181 5.181 5.181 90.00 90.00 90.00
Element x y z (fractional)
Tm: 0.000 0.000 0.500
Tm: 0.000 0.500 0.000
Tm: 0.500 0.000 0.000
Lu: 0.500 0.500 0.500
Co: 0.000 0.000 0.000

Results
Energy of formation from the pure elements   -0.1 eV per formula unit
Magnetization   0.002 μB/f.u.
Symmetry   Pm-3m, No. 221
Crystal system   cubic
E_tot   -25.12 eV per cell


# 2
Density functional theory data (GGA-PBE) for a relaxed structure of SiSb2As.

Lattice parameters (Å, degrees): 3.273 4.698 5.986 90.00 100.80 90.00
Element x y z (fractional)
Si: 0.000 0.000 0.000
Sb: 0.247 0.500 0.756
Sb: 0.753 0.500 0.244
As: 0.500 0.000 0.500

Results
Polymorph energy (0 for the lowest one)   0.3158 eV per atom
E_form (uncorrected)   0.478 eV per atom
Magnetization   0.000 μB/f.u.
Symmetry   P2/m, No. 10
Crystal system   monoclinic
E_tot   -16.40 eV per cell